1.
Hf2GaRh | the Alexandria database | PBE | relaxed; formation energy from the elements = 74 meV per atom; total magnetization = 0.000 μB per atom; Fermi-level density of states = 0.689 states/eV per atom; calculated volume = 159.97 Å³ per cell
1.0
-3.777 -0.983 -1.425
1.664 -3.003 -2.341
-2.118 -8.011 5.083
Hf Rh Ga
4 2 2
Direct
0.875 0.872 0.750 Hf
0.128 0.625 0.250 Hf
0.622 0.125 0.250 Hf
0.375 0.378 0.750 Hf
0.750 0.250 0.500 Rh
0.000 0.000 0.000 Rh
0.500 0.500 0.000 Ga
0.250 0.750 0.500 Ga

---

2.
Hf2Ga3Rh | the Alexandria database | PBE | relaxed; formation energy from the elements = -508 meV per atom; total magnetization = 0.000 μB per atom; Fermi-level density of states = 0.312 states/eV per atom; calculated volume = 208.53 Å³ per cell
1.0
-2.606 4.134 -2.467
3.369 -1.743 -6.480
-3.398 -4.730 1.736
Ga Rh Hf
6 2 4
Direct
0.749 0.250 0.000 Ga
0.872 0.937 0.750 Ga
0.879 0.437 0.750 Ga
0.128 0.063 0.250 Ga
0.251 0.750 0.000 Ga
0.121 0.563 0.250 Ga
0.723 0.750 0.000 Rh
0.277 0.250 0.000 Rh
0.678 0.586 0.359 Hf
0.682 0.086 0.359 Hf
0.322 0.414 0.641 Hf
0.318 0.914 0.641 Hf

---

3.
Hf2Ga2Rh3 | the Alexandria database | PBE | relaxed; formation energy from the elements = -709 meV per atom; total magnetization = 0.000 μB per atom; Fermi-level density of states = 0.353 states/eV per atom; calculated volume = 121.43 Å³ per cell
1.0
4.225 -0.003 -1.179
-2.279 3.748 -0.002
-0.121 -0.072 7.719
Hf Rh Ga
2 3 2
Direct
0.247 0.123 0.369 Hf
0.753 0.877 0.631 Hf
0.498 0.749 0.246 Rh
0.502 0.251 0.754 Rh
0.000 0.000 0.000 Rh
0.242 0.621 0.863 Ga
0.758 0.379 0.137 Ga

---

4.
HfGa3Rh | the Alexandria database | PBE | relaxed; formation energy from the elements = -487 meV per atom; total magnetization = 0.000 μB per atom; Fermi-level density of states = 0.386 states/eV per atom; calculated volume = 327.85 Å³ per cell
1.0
-0.029 1.541 5.245
1.545 -6.832 2.016
7.856 2.508 -0.693
Ga Rh Hf
12 4 4
Direct
0.662 0.000 0.879 Ga
0.127 0.555 0.619 Ga
0.162 0.500 0.121 Ga
0.373 0.055 0.619 Ga
0.396 0.363 0.779 Ga
0.104 0.863 0.779 Ga
0.838 0.500 0.879 Ga
0.896 0.137 0.221 Ga
0.604 0.637 0.221 Ga
0.873 0.445 0.381 Ga
0.338 0.000 0.121 Ga
0.627 0.945 0.381 Ga
0.445 0.697 0.940 Rh
0.055 0.197 0.940 Rh
0.555 0.303 0.060 Rh
0.945 0.803 0.060 Rh
0.878 0.190 0.618 Hf
0.622 0.690 0.618 Hf
0.122 0.810 0.382 Hf
0.378 0.310 0.382 Hf

---

5.
Hf4Ga3Rh | the Alexandria database | PBE | relaxed; formation energy from the elements = -576 meV per atom; total magnetization = 0.000 μB per atom; Fermi-level density of states = 0.510 states/eV per atom; calculated volume = 149.51 Å³ per cell
1.0
3.743 0.000 0.000
0.000 3.914 0.000
0.000 0.000 10.203
Rh Ga Hf
1 3 4
Direct
0.500 0.500 0.089 Rh
0.000 0.500 0.580 Ga
0.000 0.000 0.421 Ga
0.500 0.000 0.917 Ga
0.500 0.500 0.349 Hf
0.000 0.500 0.855 Hf
0.500 0.000 0.648 Hf
0.000 0.000 0.140 Hf

---

6.
HfGa4Rh7 | the Alexandria database | PBE | relaxed; formation energy from the elements = -331 meV per atom; total magnetization = 0.000 μB per atom; Fermi-level density of states = 0.705 states/eV per atom; calculated volume = 193.03 Å³ per cell
1.0
4.633 0.000 0.000
2.316 7.194 0.172
2.316 0.420 5.803
Rh Hf Ga
7 1 4
Direct
0.784 0.880 0.552 Rh
0.068 0.663 0.201 Rh
0.652 0.430 0.266 Rh
0.500 0.000 0.000 Rh
0.348 0.570 0.734 Rh
0.216 0.120 0.448 Rh
0.932 0.337 0.799 Rh
0.000 0.000 0.000 Hf
0.422 0.779 0.378 Ga
0.715 0.665 0.906 Ga
0.285 0.335 0.094 Ga
0.578 0.221 0.622 Ga

---

7.
Hf6Ga3Rh | the Alexandria database | PBE | relaxed; formation energy from the elements = -274 meV per atom; total magnetization = 0.000 μB per atom; Fermi-level density of states = 0.866 states/eV per atom; calculated volume = 406.11 Å³ per cell
1.0
5.398 0.000 0.056
0.000 7.728 0.000
0.133 0.000 9.736
Hf Ga Rh
12 6 2
Direct
0.590 0.170 0.928 Hf
0.355 0.536 0.746 Hf
0.590 0.176 0.571 Hf
0.645 0.464 0.254 Hf
0.090 0.330 0.428 Hf
0.910 0.676 0.929 Hf
0.855 0.964 0.246 Hf
0.410 0.824 0.429 Hf
0.090 0.324 0.071 Hf
0.910 0.670 0.572 Hf
0.145 0.036 0.754 Hf
0.410 0.830 0.072 Hf
0.393 0.125 0.255 Ga
0.500 0.500 0.000 Ga
0.893 0.375 0.755 Ga
0.607 0.875 0.745 Ga
0.000 0.000 0.500 Ga
0.107 0.625 0.245 Ga
0.500 0.500 0.500 Rh
0.000 0.000 0.000 Rh

---

8.
Hf2Ga5Rh3 | the Alexandria database | PBE | relaxed; formation energy from the elements = -616 meV per atom; total magnetization = 0.000 μB per atom; Fermi-level density of states = 0.457 states/eV per atom; calculated volume = 322.39 Å³ per cell
1.0
5.690 -0.166 -0.688
-1.180 7.432 -1.455
-0.289 0.181 7.657
Ga Rh Hf
10 6 4
Direct
0.144 0.965 0.277 Ga
0.250 0.507 0.493 Ga
0.950 0.743 0.837 Ga
0.356 0.723 0.035 Ga
0.050 0.257 0.163 Ga
0.750 0.493 0.507 Ga
0.644 0.277 0.965 Ga
0.856 0.035 0.723 Ga
0.550 0.163 0.257 Ga
0.450 0.837 0.743 Ga
0.750 0.940 0.060 Rh
0.551 0.530 0.807 Rh
0.949 0.193 0.470 Rh
0.250 0.060 0.940 Rh
0.449 0.470 0.193 Rh
0.051 0.807 0.530 Rh
0.576 0.825 0.389 Hf
0.924 0.611 0.175 Hf
0.076 0.389 0.825 Hf
0.424 0.175 0.611 Hf

---

9.
Hf2GaRh3 | the Alexandria database | PBE | relaxed; formation energy from the elements = -872 meV per atom; total magnetization = 0.000 μB per atom; Fermi-level density of states = 0.952 states/eV per atom; calculated volume = 196.50 Å³ per cell
1.0
-0.326 4.361 1.141
-3.738 -2.488 -0.510
0.384 -2.783 10.749
Rh Hf Ga
6 4 2
Direct
0.333 0.667 0.918 Rh
0.000 0.000 0.251 Rh
0.667 0.333 0.579 Rh
0.333 0.667 0.421 Rh
0.000 0.000 0.749 Rh
0.667 0.333 0.082 Rh
0.000 0.000 0.000 Hf
0.333 0.667 0.180 Hf
0.000 0.000 0.500 Hf
0.667 0.333 0.820 Hf
0.333 0.667 0.664 Ga
0.667 0.333 0.336 Ga

---

10.
Hf3Ga4Rh | the Alexandria database | PBE | relaxed; formation energy from the elements = -328 meV per atom; total magnetization = 0.000 μB per atom; Fermi-level density of states = 0.435 states/eV per atom; calculated volume = 145.28 Å³ per cell
1.0
2.966 0.000 0.000
0.000 5.366 0.000
-1.483 -2.683 9.129
Ga Hf Rh
4 3 1
Direct
0.380 0.632 0.760 Ga
0.380 0.128 0.760 Ga
0.620 0.368 0.240 Ga
0.620 0.872 0.240 Ga
0.000 0.500 0.000 Hf
0.243 0.243 0.486 Hf
0.757 0.757 0.514 Hf
0.500 0.000 0.000 Rh

---

11.
HfGa2Rh | the Alexandria database | PBE | relaxed; formation energy from the elements = -512 meV per atom; total magnetization = 0.000 μB per atom; Fermi-level density of states = 0.530 states/eV per atom; calculated volume = 67.00 Å³ per cell
1.0
4.184 0.000 0.000
2.092 3.624 0.000
2.092 1.208 4.419
Hf Ga Rh
1 2 1
Direct
0.500 0.500 0.500 Hf
0.272 0.272 0.184 Ga
0.728 0.728 0.816 Ga
0.000 0.000 0.000 Rh

---

12.
Hf3Ga6Rh | the Alexandria database | PBE | relaxed; formation energy from the elements = -462 meV per atom; total magnetization = 0.000 μB per atom; Fermi-level density of states = 0.487 states/eV per atom; calculated volume = 349.56 Å³ per cell
1.0
-0.917 -1.034 6.954
-4.515 -5.035 -2.131
5.873 -3.927 -0.597
Ga Rh Hf
12 2 6
Direct
0.412 0.144 0.489 Ga
0.856 0.511 0.588 Ga
0.489 0.412 0.144 Ga
0.012 0.356 0.088 Ga
0.644 0.912 0.988 Ga
0.988 0.644 0.912 Ga
0.144 0.489 0.412 Ga
0.511 0.588 0.856 Ga
0.088 0.012 0.356 Ga
0.588 0.856 0.511 Ga
0.356 0.088 0.012 Ga
0.912 0.988 0.644 Ga
0.500 0.500 0.500 Rh
0.000 0.000 0.000 Rh
0.681 0.250 0.819 Hf
0.181 0.319 0.750 Hf
0.250 0.819 0.681 Hf
0.750 0.181 0.319 Hf
0.819 0.681 0.250 Hf
0.319 0.750 0.181 Hf

---

13.
Hf4Ga2Rh | the Alexandria database | PBE | relaxed; formation energy from the elements = 222 meV per atom; total magnetization = 0.000 μB per atom; Fermi-level density of states = 1.070 states/eV per atom; calculated volume = 164.37 Å³ per cell
1.0
4.799 0.000 0.000
0.000 4.799 0.000
2.400 2.400 7.137
Ga Hf Rh
2 4 1
Direct
0.374 0.374 0.251 Ga
0.626 0.626 0.749 Ga
0.000 0.500 0.000 Hf
0.815 0.815 0.370 Hf
0.500 0.000 0.000 Hf
0.185 0.185 0.630 Hf
0.000 0.000 0.000 Rh

---

14.
Hf4Ga5Rh | the Alexandria database | PBE | relaxed; formation energy from the elements = -339 meV per atom; total magnetization = 0.000 μB per atom; Fermi-level density of states = 0.591 states/eV per atom; calculated volume = 186.11 Å³ per cell
1.0
5.591 0.000 0.000
2.796 5.769 0.000
2.796 0.000 5.769
Hf Ga Rh
4 5 1
Direct
0.134 0.248 0.371 Hf
0.753 0.752 0.629 Hf
0.505 0.629 0.248 Hf
0.382 0.371 0.752 Hf
0.048 0.669 0.144 Ga
0.680 0.000 0.000 Ga
0.717 0.144 0.331 Ga
0.192 0.856 0.669 Ga
0.860 0.331 0.856 Ga
0.240 0.000 0.000 Rh

---

15.
Hf2GaSbRh | the Alexandria database | PBE | relaxed; total magnetization = 0.000 μB per atom; formation energy without anion corrections = 0.3185 eV/atom; Fermi-level density of states = 0.951 states/eV per atom; calculated volume = 112.11 Å³ per cell
1.0
4.971 0.000 0.000
0.000 4.536 0.000
0.000 0.000 4.971
Ga Hf Sb Rh
1 2 1 1
Direct
0.000 0.000 0.000 Ga
0.500 0.000 0.000 Hf
0.000 0.000 0.500 Hf
0.500 0.500 0.500 Sb
0.000 0.500 0.000 Rh

---

16.
Hf2ScGaRh | the Alexandria database | PBE | relaxed; formation energy from the elements = 1260 meV per atom; total magnetization = 0.000 μB per atom; Fermi-level density of states = 1.230 states/eV per atom; calculated volume = 112.76 Å³ per cell
1.0
-3.368 -3.491 -0.041
1.304 -1.310 4.421
-3.232 3.096 1.870
Rh Hf Ga Sc
1 2 1 1
Direct
0.500 0.500 0.500 Rh
0.500 0.000 0.000 Hf
0.000 0.000 0.500 Hf
0.000 0.500 0.000 Ga
0.000 0.000 0.000 Sc

---

17.
HfGa2RhSe | the Alexandria database | PBE | relaxed; total magnetization = 0.000 μB per atom; formation energy without anion corrections = 0.7017 eV/atom; Fermi-level density of states = 0.947 states/eV per atom; calculated volume = 131.91 Å³ per cell
1.0
5.279 0.000 0.000
0.000 4.733 0.000
0.000 0.000 5.279
Ga Rh Se Hf
2 1 1 1
Direct
0.000 0.000 0.500 Ga
0.500 0.000 0.000 Ga
0.000 0.500 0.000 Rh
0.500 0.500 0.500 Se
0.000 0.000 0.000 Hf

---

18.
TbHfGaRh | the Alexandria database | PBE | relaxed; formation energy from the elements = -531 meV per atom; total magnetization = 0.000 μB per atom; Fermi-level density of states = 0.795 states/eV per atom; calculated volume = 79.42 Å³ per cell
1.0
4.825 0.000 0.000
2.412 4.178 0.000
2.412 1.393 3.939
Tb Rh Hf Ga
1 1 1 1
Direct
0.000 0.000 0.000 Tb
0.750 0.750 0.750 Rh
0.500 0.500 0.500 Hf
0.250 0.250 0.250 Ga

---

19.
Tb2HfGa2Rh5 | the Alexandria database | PBE | relaxed; formation energy from the elements = -871 meV per atom; total magnetization = 0.000 μB per atom; Fermi-level density of states = 0.517 states/eV per atom; calculated volume = 351.21 Å³ per cell
1.0
-0.128 3.172 1.555
-8.999 -2.174 3.694
4.271 -3.825 8.154
Tb Rh Hf Ga
4 10 2 4
Direct
0.000 0.327 0.827 Tb
0.000 0.673 0.173 Tb
0.000 0.173 0.327 Tb
0.000 0.827 0.673 Tb
0.500 0.794 0.933 Rh
0.500 0.294 0.567 Rh
0.500 0.067 0.794 Rh
0.500 0.567 0.706 Rh
0.500 0.000 0.500 Rh
0.500 0.433 0.294 Rh
0.500 0.706 0.433 Rh
0.500 0.206 0.067 Rh
0.500 0.933 0.206 Rh
0.500 0.500 0.000 Rh
0.000 0.500 0.500 Hf
0.000 0.000 0.000 Hf
0.000 0.625 0.875 Ga
0.000 0.125 0.625 Ga
0.000 0.375 0.125 Ga
0.000 0.875 0.375 Ga

---

20.
HfGaTcRh | the Alexandria database | PBE | relaxed; formation energy from the elements = -637 meV per atom; total magnetization = 0.000 μB per atom; Fermi-level density of states = 0.752 states/eV per atom; calculated volume = 62.79 Å³ per cell
1.0
-3.213 -0.134 0.816
-0.797 -2.473 -3.543
0.737 -3.556 2.317
Hf Ga Tc Rh
1 1 1 1
Direct
0.500 0.000 0.500 Hf
0.500 0.500 0.000 Ga
0.000 0.500 0.500 Tc
0.000 0.000 0.000 Rh

---

21.
Hf3Ga3Tc2Rh | the Alexandria database | PBE | relaxed; formation energy from the elements = -512 meV per atom; total magnetization = 0.000 μB per atom; Fermi-level density of states = 0.865 states/eV per atom; calculated volume = 154.34 Å³ per cell
1.0
-1.274 -1.919 2.567
-2.785 -4.570 -4.799
6.651 -1.045 2.519
Hf Tc Rh Ga
3 2 1 3
Direct
0.000 0.603 0.603 Hf
0.000 0.000 0.397 Hf
0.000 0.397 0.000 Hf
0.500 0.667 0.333 Tc
0.500 0.333 0.667 Tc
0.000 0.000 0.000 Rh
0.500 0.733 0.000 Ga
0.500 0.267 0.267 Ga
0.500 0.000 0.733 Ga

---

22.
Hf3Ga3TcRh2 | the Alexandria database | PBE | relaxed; formation energy from the elements = -563 meV per atom; total magnetization = 0.000 μB per atom; Fermi-level density of states = 0.496 states/eV per atom; calculated volume = 155.37 Å³ per cell
1.0
-0.698 -2.631 -1.698
2.598 -4.275 5.557
-7.205 1.995 -0.128
Rh Ga Hf Tc
2 3 3 1
Direct
0.500 0.667 0.333 Rh
0.500 0.333 0.667 Rh
0.000 0.000 0.372 Ga
0.000 0.372 0.000 Ga
0.000 0.628 0.628 Ga
0.500 0.713 0.000 Hf
0.500 0.000 0.713 Hf
0.500 0.287 0.287 Hf
0.000 0.000 0.000 Tc